{
  "formula": "LaTcBr2",
  "functional": "PBE-GGA",
  "state": "optimized geometry",
  "raw_formation_energy_ev_per_atom": -0.160,
  "relative_energy_ev_per_atom": 0.401,
  "lattice": [[0.000, 3.655, 3.655], [3.655, 0.000, 3.655], [3.655, 3.655, 0.000]],
  "species": ["La", "Tc", "Br", "Br"],
  "frac_coords": [[0.000, 0.000, 0.000], [0.500, 0.500, 0.500], [0.250, 0.250, 0.250], [0.750, 0.750, 0.750]]
}